Entry 1:
Here is Li2CaMgGa after structural relaxation from Alexandria via LeMat-Bulk. Energies are from PBE.

Properties
E_form in eV/atom: -0.035
Energy above the most stable polymorph in this dataset in eV/atom: 0.0000

Lattice parameters (Å, degrees): 4.9921 4.9921 5.0694 90.00 90.00 90.00
Space group P4/mmm (No. 123)
Asymmetric unit:
1 Li 0.0000 0.5000 0.0000 (multiplicity 2)
2 Ca 0.0000 0.0000 0.5000 (multiplicity 1)
3 Mg 0.5000 0.5000 0.5000 (multiplicity 1)
4 Ga 0.5000 0.5000 0.0000 (multiplicity 1)

=====

Entry 2:
Here is LiCaMg2Ga2 after structural relaxation from Alexandria via LeMat-Bulk. Energies are from PBE.

Properties
E_form in eV/atom: -0.261

Lattice parameters (Å, degrees): 4.7790 4.7790 6.5249 90.00 90.00 120.00
Space group P-3m1 (No. 164)
Asymmetric unit:
1 Li 0.0000 0.0000 0.0000 (multiplicity 1)
2 Ca 0.0000 0.0000 0.5000 (multiplicity 1)
3 Mg 0.3333 0.6667 0.1854 (multiplicity 2)
4 Ga 0.3333 0.6667 0.7347 (multiplicity 2)

=====

Entry 3:
Here is LiCa2GaN after structural relaxation from Alexandria via LeMat-Bulk. Energies are from PBE.

Properties
Formation energy (no corrections) in eV per atom: -0.4388

Lattice parameters (Å, degrees): 4.8960 4.8960 4.1708 90.00 90.00 90.00
Space group P4/mmm (No. 123)
Asymmetric unit:
1 Li 0.0000 0.0000 0.0000 (multiplicity 1)
2 Ca 0.0000 0.5000 0.5000 (multiplicity 2)
3 Ga 0.5000 0.5000 0.0000 (multiplicity 1)
4 N 0.0000 0.0000 0.5000 (multiplicity 1)

=====

Entry 4:
Here is Li2Ca2NdGa2 after structural relaxation from Alexandria via LeMat-Bulk. Energies are from PBE.

Properties
E_form in eV/atom: -0.267

Lattice parameters (Å, degrees): 4.6798 4.6798 29.8838 90.00 90.00 120.00
Space group R-3m (No. 166, hexagonal axes)
Asymmetric unit:
1 Li 0.0000 0.0000 0.1098 (multiplicity 6)
2 Ca 0.0000 0.0000 0.3815 (multiplicity 6)
3 Nd 0.0000 0.0000 0.5000 (multiplicity 3)
4 Ga 0.0000 0.0000 0.2244 (multiplicity 6)

=====

Entry 5:
Here is Li2CaNd2Ga2 after structural relaxation from Alexandria via LeMat-Bulk. Energies are from PBE.

Properties
E_form in eV/atom: -0.260

Lattice parameters (Å, degrees): 4.7078 4.7078 27.4850 90.00 90.00 120.00
Space group R-3m (No. 166, hexagonal axes)
Asymmetric unit:
1 Li 0.0000 0.0000 0.1067 (multiplicity 6)
2 Ca 0.0000 0.0000 0.5000 (multiplicity 3)
3 Nd 0.0000 0.0000 0.3734 (multiplicity 6)
4 Ga 0.0000 0.0000 0.2415 (multiplicity 6)

=====

Entry 6:
Here is Li2CaGaNi after structural relaxation from Alexandria via LeMat-Bulk. Energies are from PBE.

Properties
E_form in eV/atom: -0.139

Lattice parameters (Å, degrees): 4.6471 4.6471 4.5931 90.00 90.00 90.00
Space group P4/mmm (No. 123)
Asymmetric unit:
1 Li 0.0000 0.5000 0.0000 (multiplicity 2)
2 Ca 0.0000 0.0000 0.5000 (multiplicity 1)
3 Ga 0.5000 0.5000 0.5000 (multiplicity 1)
4 Ni 0.5000 0.5000 0.0000 (multiplicity 1)

=====

Entry 7:
Here is LiCa2GaNi after structural relaxation from Alexandria via LeMat-Bulk. Energies are from PBE.

Properties
E_form in eV/atom: -0.154

Lattice parameters (Å, degrees): 5.3888 5.3888 4.6086 90.00 90.00 90.00
Space group P4/mmm (No. 123)
Asymmetric unit:
1 Li 0.0000 0.0000 0.0000 (multiplicity 1)
2 Ca 0.0000 0.5000 0.5000 (multiplicity 2)
3 Ga 0.5000 0.5000 0.0000 (multiplicity 1)
4 Ni 0.5000 0.5000 0.5000 (multiplicity 1)

=====

Entry 8:
Here is LiCa2Ga2Ni after structural relaxation from Alexandria via LeMat-Bulk. Energies are from PBE.

Properties
E_form in eV/atom: -0.361

Lattice parameters (Å, degrees): 6.2566 13.3091 6.2359 90.00 90.00 90.00
Space group Ibam (No. 72)
Asymmetric unit:
1 Li 0.0000 0.0000 0.2500 (multiplicity 4)
2 Ca 0.2500 0.1631 0.0000 (multiplicity 8)
3 Ga 0.2258 0.4089 0.0000 (multiplicity 8)
4 Ni 0.0000 0.5000 0.2500 (multiplicity 4)

=====

Entry 9:
Here is Li2CaGaO4 after structural relaxation from Alexandria via LeMat-Bulk. Energies are from PBE.

Properties
Formation energy (no corrections) in eV per atom: -1.9685

Lattice parameters (Å, degrees): 5.2480 5.2480 6.6610 90.00 90.00 90.00
Space group I-42m (No. 121)
Asymmetric unit:
1 Li 0.0000 0.5000 0.2500 (multiplicity 4)
2 Ca 0.0000 0.0000 0.0000 (multiplicity 2)
3 Ga 0.0000 0.0000 0.5000 (multiplicity 2)
4 O 0.2126 0.2126 0.6493 (multiplicity 8)

=====

Entry 10:
Here is LiCaGaO3 after structural relaxation from Alexandria via LeMat-Bulk. Energies are from PBE.

Properties
Formation energy (no corrections) in eV per atom: -2.0856

Lattice parameters (Å, degrees): 3.2710 11.0344 7.7032 90.00 90.00 90.00
Space group Cmcm (No. 63)
Asymmetric unit:
1 Li 0.0000 0.0000 0.0000 (multiplicity 4)
2 Ca 0.0000 0.2599 0.2500 (multiplicity 4)
3 Ga 0.0000 0.4697 0.7500 (multiplicity 4)
4 O 0.0000 0.0649 0.7500 (multiplicity 4)
5 O 0.0000 0.3649 0.5666 (multiplicity 8)

=====

Entry 11:
Here is LiCaGaP2 after structural relaxation from Alexandria via LeMat-Bulk. Energies are from PBE.

Properties
E_form in eV/atom: -0.749

Lattice parameters (Å, degrees): 13.4801 3.9818 9.6791 90.00 127.71 90.00
Space group C2/m (No. 12)
Asymmetric unit:
1 Li 0.1486 0.0000 0.4201 (multiplicity 4)
2 Ca 0.2077 0.5000 0.1412 (multiplicity 4)
3 Ga 0.0403 0.5000 0.6881 (multiplicity 4)
4 P 0.0724 0.0000 0.8591 (multiplicity 4)
5 P 0.1681 0.5000 0.5897 (multiplicity 4)

=====

Entry 12:
Here is LiCaGaPb after structural relaxation from Alexandria via LeMat-Bulk. Energies are from PBE.

Properties
E_form in eV/atom: -0.338

Lattice parameters (Å, degrees): 7.2921 7.2921 7.2921 90.00 90.00 90.00
Space group F-43m (No. 216)
Asymmetric unit:
1 Li 0.0000 0.0000 0.0000 (multiplicity 4)
2 Ca 0.0000 0.0000 0.5000 (multiplicity 4)
3 Ga 0.2500 0.2500 0.7500 (multiplicity 4)
4 Pb 0.2500 0.2500 0.2500 (multiplicity 4)

=====

Entry 13:
Here is LiCa2Ga2Pd5 after structural relaxation from Alexandria via LeMat-Bulk. Energies are from PBE.

Properties
E_form in eV/atom: -0.641

Lattice parameters (Å, degrees): 10.0698 10.0698 3.5483 90.00 90.00 90.00
Space group P4/mbm (No. 127)
Asymmetric unit:
1 Li 0.0000 0.0000 0.0000 (multiplicity 2)
2 Ca 0.1729 0.3271 0.0000 (multiplicity 4)
3 Ga 0.1278 0.6278 0.0000 (multiplicity 4)
4 Pd 0.0000 0.5000 0.5000 (multiplicity 2)
5 Pd 0.0653 0.7986 0.5000 (multiplicity 8)

=====

Entry 14:
Here is Li2CaGaPd after structural relaxation from Alexandria via LeMat-Bulk. Energies are from PBE.

Properties
E_form in eV/atom: -0.306

Lattice parameters (Å, degrees): 4.7515 4.7515 4.8508 90.00 90.00 90.00
Space group P4/mmm (No. 123)
Asymmetric unit:
1 Li 0.0000 0.5000 0.0000 (multiplicity 2)
2 Ca 0.0000 0.0000 0.5000 (multiplicity 1)
3 Ga 0.5000 0.5000 0.5000 (multiplicity 1)
4 Pd 0.5000 0.5000 0.0000 (multiplicity 1)

=====

Entry 15:
Here is LiCa2Ga5Pd2 after structural relaxation from Alexandria via LeMat-Bulk. Energies are from PBE.

Properties
E_form in eV/atom: -0.541

Lattice parameters (Å, degrees): 9.7542 9.7542 4.0269 90.00 90.00 90.00
Space group P4/mbm (No. 127)
Asymmetric unit:
1 Li 0.0000 0.0000 0.0000 (multiplicity 2)
2 Ca 0.1814 0.3186 0.0000 (multiplicity 4)
3 Ga 0.0000 0.5000 0.5000 (multiplicity 2)
4 Ga 0.0583 0.7987 0.5000 (multiplicity 8)
5 Pd 0.1159 0.6159 0.0000 (multiplicity 4)

=====

Entry 16:
Here is LiCaGaPd after structural relaxation from Alexandria via LeMat-Bulk. Energies are from PBE.

Properties
E_form in eV/atom: -0.555
Energy above the most stable polymorph in this dataset in eV/atom: 0.0000

Lattice parameters (Å, degrees): 7.6970 4.4622 5.4573 90.00 118.45 90.00
Space group Cm (No. 8)
Asymmetric unit:
1 Li 0.0000 0.0000 0.0000 (multiplicity 2)
2 Ca 0.2013 0.0000 0.6016 (multiplicity 2)
3 Ga 0.2255 0.5000 0.1761 (multiplicity 2)
4 Pd 0.4062 0.0000 0.2189 (multiplicity 2)

=====

Entry 17:
Here is Li2CaGaPd2 after structural relaxation from Alexandria via LeMat-Bulk. Energies are from PBE.

Properties
E_form in eV/atom: -0.325

Lattice parameters (Å, degrees): 4.7919 4.7919 5.7512 90.00 90.00 90.00
Space group P4/mmm (No. 123)
Asymmetric unit:
1 Li 0.0000 0.0000 0.2215 (multiplicity 2)
2 Ca 0.5000 0.5000 0.5000 (multiplicity 1)
3 Ga 0.5000 0.5000 0.0000 (multiplicity 1)
4 Pd 0.0000 0.5000 0.0000 (multiplicity 2)

=====

Entry 18:
Here is LiCa2GaPd after structural relaxation from Alexandria via LeMat-Bulk. Energies are from PBE.

Properties
E_form in eV/atom: -0.294

Lattice parameters (Å, degrees): 5.5755 5.5755 4.8247 90.00 90.00 90.00
Space group P4/mmm (No. 123)
Asymmetric unit:
1 Li 0.0000 0.0000 0.0000 (multiplicity 1)
2 Ca 0.0000 0.5000 0.5000 (multiplicity 2)
3 Ga 0.5000 0.5000 0.0000 (multiplicity 1)
4 Pd 0.5000 0.5000 0.5000 (multiplicity 1)

=====

Entry 19:
Here is LiCaGaPd after structural relaxation from Alexandria via LeMat-Bulk. Energies are from PBE.

Properties
E_form in eV/atom: -0.481
Energy above the most stable polymorph in this dataset in eV/atom: 0.0736

Lattice parameters (Å, degrees): 6.6577 6.6577 6.6577 90.00 90.00 90.00
Space group F-43m (No. 216)
Asymmetric unit:
1 Li 0.0000 0.0000 0.0000 (multiplicity 4)
2 Ca 0.2500 0.2500 0.2500 (multiplicity 4)
3 Ga 0.2500 0.2500 0.7500 (multiplicity 4)
4 Pd 0.0000 0.0000 0.5000 (multiplicity 4)

=====

Entry 20:
Here is LiCa2GaPd2 after structural relaxation from Alexandria via LeMat-Bulk. Energies are from PBE.

Properties
E_form in eV/atom: -0.603

Lattice parameters (Å, degrees): 5.8649 14.5383 6.0133 90.00 90.00 90.00
Space group Ibam (No. 72)
Asymmetric unit:
1 Li 0.0000 0.0000 0.2500 (multiplicity 4)
2 Ca 0.2443 0.1711 0.0000 (multiplicity 8)
3 Ga 0.0000 0.5000 0.2500 (multiplicity 4)
4 Pd 0.2345 0.3889 0.0000 (multiplicity 8)

=====

Entry 21:
Here is Li2CaPm2Ga2 after structural relaxation from Alexandria via LeMat-Bulk. Energies are from PBE.

Properties
E_form in eV/atom: -0.260

Lattice parameters (Å, degrees): 4.6938 4.6938 27.3792 90.00 90.00 120.00
Space group R-3m (No. 166, hexagonal axes)
Asymmetric unit:
1 Li 0.0000 0.0000 0.1055 (multiplicity 6)
2 Ca 0.0000 0.0000 0.5000 (multiplicity 3)
3 Pm 0.0000 0.0000 0.3733 (multiplicity 6)
4 Ga 0.0000 0.0000 0.2424 (multiplicity 6)

=====

Entry 22:
Here is LiCaPm2Ga4 after structural relaxation from Alexandria via LeMat-Bulk. Energies are from PBE.

Properties
E_form in eV/atom: -0.454

Lattice parameters (Å, degrees): 5.0411 5.0411 25.0809 90.00 90.00 120.00
Space group R-3m (No. 166, hexagonal axes)
Asymmetric unit:
1 Li 0.0000 0.0000 0.0000 (multiplicity 3)
2 Ca 0.0000 0.0000 0.5000 (multiplicity 3)
3 Pm 0.0000 0.0000 0.2549 (multiplicity 6)
4 Ga 0.0000 0.0000 0.1224 (multiplicity 6)
5 Ga 0.0000 0.0000 0.3737 (multiplicity 6)

=====

Entry 23:
Here is Li2Ca2PrGa2 after structural relaxation from Alexandria via LeMat-Bulk. Energies are from PBE.

Properties
E_form in eV/atom: -0.265

Lattice parameters (Å, degrees): 4.6922 4.6922 29.7870 90.00 90.00 120.00
Space group R-3m (No. 166, hexagonal axes)
Asymmetric unit:
1 Li 0.0000 0.0000 0.1081 (multiplicity 6)
2 Ca 0.0000 0.0000 0.3805 (multiplicity 6)
3 Pr 0.0000 0.0000 0.5000 (multiplicity 3)
4 Ga 0.0000 0.0000 0.2263 (multiplicity 6)

=====

Entry 24:
Here is LiCaGaPt2 after structural relaxation from Alexandria via LeMat-Bulk. Energies are from PBE.

Properties
E_form in eV/atom: -0.816

Lattice parameters (Å, degrees): 4.0186 4.0186 11.6200 90.00 90.00 90.00
Space group I-4m2 (No. 119)
Asymmetric unit:
1 Li 0.0000 0.0000 0.0000 (multiplicity 2)
2 Ca 0.0000 0.5000 0.7500 (multiplicity 2)
3 Ga 0.0000 0.0000 0.5000 (multiplicity 2)
4 Pt 0.0000 0.5000 0.1357 (multiplicity 4)

=====

In order of appearance, total magnetic moment = 0.00 0.00 0.00 0.00 0.00 0.00 0.00 0.00 0.13 0.00 0.00 0.00 0.00 0.00 0.00 0.00 0.00 0.00 0.00 0.00 0.00 0.00 0.00 0.00 μB/atom.